A geometry-optimized AcGaAsRh6 structure, computed with PBE-GGA.

Properties
**Space group**: Imma, No. 74
**Total energy**: -6.320 eV per atom
**Magnetization**: 0.000 μB/f.u.
**Formation energy from the elements**: -0.1099 eV/atom

```
AcGaAsRh6
1.0
-1.1351 -3.9396 4.8495
-6.2091 -4.6552 -5.2351
7.8194 0.8362 -1.6483
Ac Ga As Rh
2 2 2 12
direct
0.8294 0.5794 0.6587
0.1706 0.4206 0.3413
0.5000 0.0000 0.5000
0.0000 0.0000 0.5000
0.5000 0.5000 0.0000
0.5000 0.0000 0.0000
0.4271 0.6771 0.8542
0.9121 0.1621 0.8242
0.9123 0.1171 0.2667
0.3545 0.6496 0.2667
0.3545 0.1171 0.2667
0.9123 0.6496 0.2667
0.5729 0.3229 0.1458
0.0879 0.8379 0.1758
0.0877 0.8829 0.7333
0.6455 0.3504 0.7333
0.6455 0.8829 0.7333
0.0877 0.3504 0.7333
```